[1]
16
Lattice="6.215 0.000 0.000 0.000 7.102 0.000 0.000 0.000 11.245" Properties=species:S:1:pos:R:3 comment="Sm4Er3Tl PBE optimized geometry" space_group="Pmn2_1 (31)" dos_at_fermi_per_ev_atom=1.32 ef_ev_per_atom=-0.06 magnetic_moment_mub_per_fu=0.00 final_energy_ev_per_atom=-4.423 pbc="T T T"
Sm 0.755 6.170 5.622
Er 6.033 4.379 2.768
Tl 4.051 4.313 5.622
Er 2.926 2.724 2.854
Er 0.926 2.633 5.622
Tl 0.944 2.789 0.000
Sm 6.151 0.938 8.646
Sm 3.863 0.933 0.000
Er 6.033 4.379 8.477
Sm 1.070 6.176 0.000
Sm 6.151 0.938 2.599
Sm 3.043 6.164 8.222
Er 4.034 4.469 0.000
Sm 3.043 6.164 3.023
Er 2.926 2.724 8.391
Sm 4.178 0.927 5.622

=====

[2]
4
Lattice="-3.536 1.927 -1.816 -1.605 -1.550 1.479 -0.561 3.028 4.305" Properties=species:S:1:pos:R:3 comment="MgCrW2 PBE optimized geometry" space_group="P2/m (10)" dos_at_fermi_per_ev_atom=0.62 ef_ev_per_atom=0.38 magnetic_moment_mub_per_fu=0.00 final_energy_ev_per_atom=-8.898 pbc="T T T"
Cr -2.309 1.333 0.538
W -0.025 0.013 0.063
Mg -3.392 2.073 3.430
W -1.057 0.727 2.829

=====

[3]
4
Lattice="4.266 0.000 0.000 2.133 3.695 0.000 2.133 1.232 6.812" Properties=species:S:1:pos:R:3 comment="Er2HgGe PBE optimized geometry" space_group="R-3m (166)" dos_at_fermi_per_ev_atom=0.82 ef_ev_per_atom=-0.54 magnetic_moment_mub_per_fu=0.00 final_energy_ev_per_atom=-4.047 pbc="T T T"
Er 2.133 1.232 1.435
Hg 4.266 2.463 3.406
Er 6.399 3.695 5.376
Ge 0.000 0.000 0.000